A geometry-optimized NiSn6Bi structure. Source: Alexandria, functional PBE-GGA.

Computed properties:
The total energy comes out at -4.187 eV per atom. The calculation puts the formation energy at 23 meV/atom. The spin magnetization comes out at 0.000 μB/f.u.

Cell lengths 14.026, 9.523, 9.812 Å; angles 90.00, 133.23, 90.00 degrees
Space group C2/m (No. 12)
One atom of each set of equivalent atoms:
Ni (0.250, 0.250, 0.000) x4
Sn (0.033, 0.159, 0.882) x8
Sn (0.097, 0.500, 0.228) x4
Sn (0.141, 0.343, 0.678) x8
Sn (0.205, 0.500, 0.048) x4
Bi (0.250, 0.250, 0.500) x4


A geometry-optimized SrNiSn2Bi structure. Source: Alexandria, functional PBE-GGA.

Computed properties:
The total energy comes out at -2.832 eV per atom. The calculation puts the formation energy at 1038 meV/atom. The spin magnetization comes out at 0.000 μB/f.u. The calculation puts the energy above the most stable polymorph in this dataset at 1298 meV per atom.

Cell lengths 5.979, 5.979, 4.841 Å; angles 90.00, 90.00, 90.00 degrees
Space group P4/mmm (No. 123)
One atom of each set of equivalent atoms:
Sr (0.000, 0.000, 0.000) x1
Ni (0.000, 0.000, 0.500) x1
Sn (0.000, 0.500, 0.000) x2
Bi (0.500, 0.500, 0.500) x1


A geometry-optimized SrNiSn2Bi structure. Source: Alexandria, functional PBE-GGA.

Computed properties:
The total energy comes out at -4.130 eV per atom. The calculation puts the formation energy at -260 meV/atom. The spin magnetization comes out at 0.000 μB/f.u. The calculation puts the energy above the most stable polymorph in this dataset at 0 meV per atom.

Cell lengths 4.985, 4.985, 5.627 Å; angles 90.00, 90.00, 90.00 degrees
Space group P4/mmm (No. 123)
One atom of each set of equivalent atoms:
Sr (0.000, 0.000, 0.000) x1
Ni (0.000, 0.000, 0.500) x1
Sn (0.000, 0.500, 0.500) x2
Bi (0.500, 0.500, 0.000) x1


A geometry-optimized TlNiSn2Bi structure. Source: Alexandria, functional PBE-GGA.

Computed properties:
The total energy comes out at -3.946 eV per atom. The calculation puts the formation energy at 61 meV/atom. The spin magnetization comes out at 0.000 μB/f.u. The calculation puts the energy above the most stable polymorph in this dataset at 0 meV per atom.

Cell lengths 5.082, 5.082, 5.135 Å; angles 90.00, 90.00, 90.00 degrees
Space group P4/mmm (No. 123)
One atom of each set of equivalent atoms:
Tl (0.000, 0.000, 0.000) x1
Ni (0.000, 0.000, 0.500) x1
Sn (0.000, 0.500, 0.500) x2
Bi (0.500, 0.500, 0.000) x1


A geometry-optimized TlNiSn2Bi structure. Source: Alexandria, functional PBE-GGA.

Computed properties:
The total energy comes out at -3.907 eV per atom. The calculation puts the formation energy at 99 meV/atom. The spin magnetization comes out at 0.000 μB/f.u. The calculation puts the energy above the most stable polymorph in this dataset at 39 meV per atom.

Cell lengths 4.917, 4.917, 5.719 Å; angles 90.00, 90.00, 90.00 degrees
Space group P4/mmm (No. 123)
One atom of each set of equivalent atoms:
Tl (0.000, 0.000, 0.000) x1
Ni (0.500, 0.500, 0.500) x1
Sn (0.000, 0.500, 0.500) x2
Bi (0.500, 0.500, 0.000) x1


A geometry-optimized Tl2NiSnBi structure. Source: Alexandria, functional PBE-GGA.

Computed properties:
The total energy comes out at -3.568 eV per atom. The calculation puts the formation energy at 111 meV/atom. The spin magnetization comes out at 0.000 μB/f.u.

Cell lengths 5.179, 5.179, 5.091 Å; angles 90.00, 90.00, 90.00 degrees
Space group P4/mmm (No. 123)
One atom of each set of equivalent atoms:
Tl (0.000, 0.500, 0.000) x2
Ni (0.000, 0.000, 0.000) x1
Sn (0.000, 0.000, 0.500) x1
Bi (0.500, 0.500, 0.500) x1